(1)
YMn2Tc | PBE-GGA | relaxed

Geometry as CIF:
```
data_YMn2Tc
_chemical_formula_sum 'Y1 Mn2 Tc1'
_cell_length_a 4.434
_cell_length_b 4.434
_cell_length_c 3.090
_cell_angle_alpha 90.00
_cell_angle_beta 90.00
_cell_angle_gamma 90.00
_symmetry_space_group_name_H-M 'P 1'
_symmetry_Int_Tables_number 1
_symmetry_space_group_name_Hall 'P 1'
loop_
_atom_site_label
_atom_site_fract_x
_atom_site_fract_y
_atom_site_fract_z
_atom_site_occupancy
Y1 0.000 0.000 0.000 1
Mn1 0.000 0.500 0.500 1
Mn2 0.500 0.000 0.500 1
Tc1 0.500 0.500 0.000 1
```

Values from the calculation:
Space-group type = P4/mmm (123)
Energy of formation = 0.474 eV/atom
Calculated total energy = -8.32 eV/atom
Density of states at the Fermi level = 1.116 states/eV per atom
Energy above the lowest structure with this stoichiometry = 1.13 eV per formula unit

=====

(2)
Ca2TaRe | PBE-GGA | relaxed

Geometry as CIF:
```
data_Ca2TaRe
_chemical_formula_sum 'Ca2 Ta1 Re1'
_cell_length_a 6.186
_cell_length_b 6.186
_cell_length_c 6.186
_cell_angle_alpha 146.83
_cell_angle_beta 138.09
_cell_angle_gamma 54.46
_symmetry_space_group_name_H-M 'P 1'
_symmetry_Int_Tables_number 1
_symmetry_space_group_name_Hall 'P 1'
loop_
_atom_site_label
_atom_site_fract_x
_atom_site_fract_y
_atom_site_fract_z
_atom_site_occupancy
Ca1 0.217 0.217 0.000 1
Ca2 0.783 0.783 0.000 1
Ta1 0.500 0.000 0.500 1
Re1 0.000 0.500 0.500 1
```

Values from the calculation:
Space-group type = Immm (71)
Energy of formation = 0.680 eV/atom
Calculated total energy = -6.40 eV/atom
Density of states at the Fermi level = 1.031 states/eV per atom
Energy above the lowest structure with this stoichiometry = 1.76 eV per formula unit

=====

(3)
Li3ZnIr | PBE-GGA | relaxed

Geometry as CIF:
```
data_Li3ZnIr
_chemical_formula_sum 'Li3 Zn1 Ir1'
_cell_length_a 4.338
_cell_length_b 4.338
_cell_length_c 4.338
_cell_angle_alpha 90.00
_cell_angle_beta 90.00
_cell_angle_gamma 90.00
_symmetry_space_group_name_H-M 'P 1'
_symmetry_Int_Tables_number 1
_symmetry_space_group_name_Hall 'P 1'
loop_
_atom_site_label
_atom_site_fract_x
_atom_site_fract_y
_atom_site_fract_z
_atom_site_occupancy
Li1 0.000 0.000 0.500 1
Li2 0.000 0.500 0.000 1
Li3 0.500 0.000 0.000 1
Zn1 0.000 0.000 0.000 1
Ir1 0.500 0.500 0.500 1
```

Values from the calculation:
Space-group type = Pm-3m (221)
Energy of formation = 0.686 eV/atom
Calculated total energy = -2.49 eV/atom
Density of states at the Fermi level = 0.038 states/eV per atom
Energy above the lowest structure with this stoichiometry = 4.13 eV per formula unit

=====

(4)
MgTl2As2 | PBE-GGA | relaxed

Geometry as CIF:
```
data_MgTl2As2
_chemical_formula_sum 'Mg1 Tl2 As2'
_cell_length_a 9.220
_cell_length_b 9.220
_cell_length_c 9.220
_cell_angle_alpha 155.90
_cell_angle_beta 155.90
_cell_angle_gamma 34.35
_symmetry_space_group_name_H-M 'P 1'
_symmetry_Int_Tables_number 1
_symmetry_space_group_name_Hall 'P 1'
loop_
_atom_site_label
_atom_site_fract_x
_atom_site_fract_y
_atom_site_fract_z
_atom_site_occupancy
Mg1 0.000 0.000 0.000 1
Tl1 0.396 0.396 0.000 1
Tl2 0.604 0.604 0.000 1
As1 0.250 0.750 0.500 1
As2 0.750 0.250 0.500 1
```

Values from the calculation:
Space-group type = I4/mmm (139)
Energy of formation = 0.117 eV/atom
Calculated total energy = -3.01 eV/atom
Density of states at the Fermi level = 0.459 states/eV per atom
Energy above the lowest structure with this stoichiometry = 1.22 eV per formula unit

=====

(5)
Ca5Pa3Sb8 | PBE-GGA | relaxed

Geometry as CIF:
```
data_Ca5Pa3Sb8
_chemical_formula_sum 'Ca5 Pa3 Sb8'
_cell_length_a 8.928
_cell_length_b 8.928
_cell_length_c 8.928
_cell_angle_alpha 60.31
_cell_angle_beta 60.31
_cell_angle_gamma 60.31
_symmetry_space_group_name_H-M 'P 1'
_symmetry_Int_Tables_number 1
_symmetry_space_group_name_Hall 'P 1'
loop_
_atom_site_label
_atom_site_fract_x
_atom_site_fract_y
_atom_site_fract_z
_atom_site_occupancy
Ca1 0.000 0.000 0.000 1
Ca2 0.000 0.500 0.500 1
Ca3 0.500 0.000 0.500 1
Ca4 0.500 0.500 0.000 1
Ca5 0.500 0.500 0.500 1
Pa1 0.000 0.000 0.500 1
Pa2 0.000 0.500 0.000 1
Pa3 0.500 0.000 0.000 1
Sb1 0.235 0.750 0.750 1
Sb2 0.245 0.245 0.245 1
Sb3 0.250 0.250 0.765 1
Sb4 0.250 0.765 0.250 1
Sb5 0.750 0.235 0.750 1
Sb6 0.750 0.750 0.235 1
Sb7 0.755 0.755 0.755 1
Sb8 0.765 0.250 0.250 1
```

Values from the calculation:
Space-group type = R-3m (166)
Uncorrected formation energy = -0.7937 eV per atom
Calculated total energy = -5.26 eV/atom
Density of states at the Fermi level = 0.637 states/eV per atom

=====

(6)
CdTe2As | PBE-GGA | relaxed

Geometry as CIF:
```
data_CdTe2As
_chemical_formula_sum 'Cd1 Te2 As1'
_cell_length_a 5.231
_cell_length_b 5.231
_cell_length_c 5.231
_cell_angle_alpha 60.00
_cell_angle_beta 60.00
_cell_angle_gamma 60.00
_symmetry_space_group_name_H-M 'P 1'
_symmetry_Int_Tables_number 1
_symmetry_space_group_name_Hall 'P 1'
loop_
_atom_site_label
_atom_site_fract_x
_atom_site_fract_y
_atom_site_fract_z
_atom_site_occupancy
Cd1 0.000 0.000 0.000 1
Te1 0.250 0.250 0.250 1
Te2 0.500 0.500 0.500 1
As1 0.750 0.750 0.750 1
```

Values from the calculation:
Space-group type = F-43m (216)
Uncorrected formation energy = 0.3567 eV per atom
Calculated total energy = -2.61 eV/atom
Density of states at the Fermi level = 1.018 states/eV per atom
Energy above the lowest structure with this stoichiometry = 1.75 eV per formula unit

=====

- Which formula does entry 5 have?
  Ca5Pa3Sb8

=====

- The lowest density of states at the Fermi level belongs to which entry?
  Li3ZnIr